Density functional theory data (PBE) for Zr2CrNiH after structural relaxation.

Calculated values
Distance to the lowest polymorph of the same formula = 0.00 eV/f.u.
Raw total energy = -7.315 eV/atom

a = 4.541 Å, b = 4.541 Å, c = 3.369 Å
α = 90.00°, β = 90.00°, γ = 90.00°
Atoms (fractional coordinates):
Zr: 0.000 0.500 0.000
Zr: 0.500 0.000 0.000
Cr: 0.000 0.000 0.500
Ni: 0.500 0.500 0.500
H: 0.000 0.000 0.000



Density functional theory data (PBE) for Hg4Se3 after structural relaxation.

Calculated values
ΔE_f (raw) = 0.1 kJ/mol of atoms
Distance to the lowest polymorph of the same formula = 0.08 eV/f.u.
Raw total energy = -1.665 eV/atom

a = 4.073 Å, b = 4.073 Å, c = 22.803 Å
α = 90.00°, β = 90.00°, γ = 90.00°
Atoms (fractional coordinates):
Hg: 0.000 0.000 0.059
Hg: 0.000 0.000 0.324
Hg: 0.000 0.000 0.676
Hg: 0.000 0.000 0.941
Hg: 0.500 0.500 0.176
Hg: 0.500 0.500 0.441
Hg: 0.500 0.500 0.559
Hg: 0.500 0.500 0.824
Se: 0.000 0.000 0.173
Se: 0.000 0.000 0.500
Se: 0.000 0.000 0.827
Se: 0.500 0.500 0.000
Se: 0.500 0.500 0.327
Se: 0.500 0.500 0.673



Question: Look up the raw total energy of the first one.
Answer: -7.315 eV/atom



Copy entry 2 word for word.
Density functional theory data (PBE) for Hg4Se3 after structural relaxation.

Calculated values
ΔE_f (raw) = 0.1 kJ/mol of atoms
Distance to the lowest polymorph of the same formula = 0.08 eV/f.u.
Raw total energy = -1.665 eV/atom

a = 4.073 Å, b = 4.073 Å, c = 22.803 Å
α = 90.00°, β = 90.00°, γ = 90.00°
Atoms (fractional coordinates):
Hg: 0.000 0.000 0.059
Hg: 0.000 0.000 0.324
Hg: 0.000 0.000 0.676
Hg: 0.000 0.000 0.941
Hg: 0.500 0.500 0.176
Hg: 0.500 0.500 0.441
Hg: 0.500 0.500 0.559
Hg: 0.500 0.500 0.824
Se: 0.000 0.000 0.173
Se: 0.000 0.000 0.500
Se: 0.000 0.000 0.827
Se: 0.500 0.500 0.000
Se: 0.500 0.500 0.327
Se: 0.500 0.500 0.673